Entry 1:
Compound: ZnTc2Rh
Source: the Alexandria database
Functional: PBE-GGA
Structure: optimized geometry

```
ZnTc2Rh
1.0
9.038 -0.015 -0.009
8.629 2.688 -0.009
8.629 1.305 2.350
Rh Tc Zn
1 2 1
Direct
0.750 0.750 0.750
0.001 0.001 0.001
0.499 0.499 0.499
0.250 0.250 0.250
```

## Properties
- energy relative to the elements (eV per atom) = 0.066
- E_tot (eV/atom) = -7.273
- magnetization (Bohr magnetons per cell) = 0.00
- mass density (g cm⁻³) = 10.5

---

Entry 2:
Compound: ZnTc3Rh
Source: the Alexandria database
Functional: PBE-GGA
Structure: optimized geometry

```
ZnTc3Rh
1.0
-0.047 2.098 4.158
4.116 -1.927 1.019
2.179 3.685 -1.835
Zn Rh Tc
1 1 3
Direct
0.500 0.500 0.500
0.000 0.000 0.000
0.000 0.500 0.000
0.000 0.000 0.500
0.500 0.000 0.000
```

## Properties
- energy relative to the elements (eV per atom) = 1.828
- E_tot (eV/atom) = -6.117
- magnetization (Bohr magnetons per cell) = 1.29
- mass density (g cm⁻³) = 7.6